Computed, not measured: a geometry-optimized Nb3B4P structure at the GGA-PBE level of DFT.

Unit cell a=3.108 b=3.254 c=8.577 alpha=90.00 beta=90.00 gamma=90.00
Space group Pmmm (No. 47)
Asymmetric unit:
Nb1 0.000 0.000 0.000 x1
Nb2 0.500 0.000 0.319 x2
B1 0.000 0.500 0.209 x2
B2 0.500 0.500 0.110 x2
P1 0.000 0.500 0.500 x1

Calculated values
VASP energy = -8.4038 eV per atom

***

Computed, not measured: a geometry-optimized AgPbSO structure at the GGA-PBE level of DFT.

Unit cell a=3.815 b=3.815 c=11.844 alpha=90.00 beta=90.00 gamma=90.00
Space group P4/nmm (No. 129, origin choice 2)
Asymmetric unit:
Ag1 0.250 0.250 0.103 x2
Pb1 0.250 0.250 0.608 x2
S1 0.250 0.250 0.881 x2
O1 0.250 0.750 0.500 x2

Calculated values
ΔE to the lowest computed polymorph = 35 meV per atom

***

Computed, not measured: a geometry-optimized GdDy2Mg3Pd2Pt structure at the GGA-PBE level of DFT.

Unit cell a=4.102 b=12.808 c=7.405 alpha=90.00 beta=90.00 gamma=90.00
Space group Amm2 (No. 38)
Asymmetric unit:
Gd1 0.000 0.000 0.000 x2
Dy1 0.000 0.204 0.613 x4
Mg1 0.500 0.000 0.652 x2
Mg2 0.500 0.122 0.287 x4
Pd1 0.500 0.168 0.908 x4
Pt1 0.000 0.000 0.411 x2

Calculated values
VASP energy = -4.6561 eV per atom

***

Computed, not measured: a geometry-optimized Cs2LiSmCl6 structure at the GGA-PBE level of DFT.

Unit cell a=7.498 b=7.498 c=10.639 alpha=90.00 beta=90.00 gamma=90.00
Space group I4/mmm (No. 139)
Asymmetric unit:
Cs1 0.000 0.500 0.250 x4
Li1 0.000 0.000 0.000 x2
Sm1 0.000 0.000 0.500 x2
Cl1 0.000 0.000 0.247 x4
Cl2 0.246 0.246 0.000 x8

Calculated values
VASP energy = -4.0598 eV per atom

***

Computed, not measured: a geometry-optimized Er3In3Ni2Pt structure at the GGA-PBE level of DFT.

Unit cell a=7.4700 b=7.4700 c=3.8339 alpha=90.00 beta=90.00 gamma=120.00
Space group P-62m (No. 189)
Asymmetric unit:
Er1 0.0000 0.5954 0.0000 x3
In1 0.0000 0.2699 0.5000 x3
Ni1 0.3333 0.6667 0.5000 x2
Pt1 0.0000 0.0000 0.0000 x1

Calculated values
VASP energy = -4.9832 eV per atom

***

Computed, not measured: a geometry-optimized LiNiBOs structure at the GGA-PBE level of DFT.

Unit cell a=5.527 b=5.527 c=5.527 alpha=90.00 beta=90.00 gamma=90.00
Space group F-43m (No. 216)
Asymmetric unit:
Li1 0.000 0.000 0.000 x4
Ni1 0.250 0.250 0.750 x4
B1 0.250 0.250 0.250 x4
Os1 0.000 0.000 0.500 x4

Calculated values
ΔE to the lowest computed polymorph = 0 meV per atom

***

Computed, not measured: a geometry-optimized KCu2S2 structure at the GGA-PBE level of DFT.

Unit cell a=3.838 b=3.838 c=13.083 alpha=90.00 beta=90.00 gamma=90.00
Space group I4/mmm (No. 139)
Asymmetric unit:
K1 0.000 0.000 0.000 x2
Cu1 0.000 0.500 0.250 x4
S1 0.000 0.000 0.353 x4

Calculated values
VASP energy = -3.9260 eV per atom

***

Computed, not measured: a geometry-optimized HfUGa structure at the GGA-PBE level of DFT.

Unit cell a=6.555 b=6.555 c=6.555 alpha=90.00 beta=90.00 gamma=90.00
Space group F-43m (No. 216)
Asymmetric unit:
Hf1 0.000 0.000 0.000 x4
U1 0.000 0.000 0.500 x4
Ga1 0.250 0.250 0.250 x4

Calculated values
ΔE to the lowest computed polymorph = 0 meV per atom

***

Computed, not measured: a geometry-optimized CsAgSeS3 structure at the GGA-PBE level of DFT.

Unit cell a=8.577 b=4.026 c=10.155 alpha=90.00 beta=113.49 gamma=90.00
Space group P2_1/m (No. 11)
Asymmetric unit:
Cs1 0.248 0.250 0.289 x2
Ag1 0.086 0.250 0.601 x2
Se1 0.329 0.750 0.874 x2
S1 0.148 0.250 0.878 x2
S2 0.253 0.750 0.577 x2
S3 0.465 0.750 0.125 x2

Calculated values
VASP energy = -3.4389 eV per atom

***

Computed, not measured: a geometry-optimized Gd2TaNbGe2 structure at the GGA-PBE level of DFT.

Unit cell a=4.040 b=4.040 c=7.975 alpha=90.00 beta=90.00 gamma=90.00
Space group P-4m2 (No. 115)
Asymmetric unit:
Gd1 0.000 0.500 0.148 x2
Ta1 0.000 0.000 0.500 x1
Nb1 0.500 0.500 0.500 x1
Ge1 0.000 0.500 0.740 x2

Calculated values
VASP energy = -7.3597 eV per atom

***

Computed, not measured: a geometry-optimized SmFeCoB2 structure at the GGA-PBE level of DFT.

Unit cell a=3.636 b=3.636 c=9.558 alpha=90.00 beta=90.00 gamma=90.00
Space group I-4m2 (No. 119)
Asymmetric unit:
Sm1 0.000 0.000 0.000 x2
Fe1 0.000 0.500 0.250 x2
Co1 0.000 0.500 0.750 x2
B1 0.000 0.000 0.334 x4

Calculated values
VASP energy = -7.1704 eV per atom

***

Computed, not measured: a geometry-optimized ZnFeHgSb structure at the GGA-PBE level of DFT.

Unit cell a=6.771 b=6.771 c=6.771 alpha=90.00 beta=90.00 gamma=90.00
Space group F-43m (No. 216)
Asymmetric unit:
Zn1 0.000 0.000 0.000 x4
Fe1 0.000 0.000 0.500 x4
Hg1 0.250 0.250 0.750 x4
Sb1 0.250 0.250 0.250 x4

Calculated values
ΔE to the lowest computed polymorph = 0 meV per atom

***

Computed, not measured: a geometry-optimized Y3Zn4 structure at the GGA-PBE level of DFT.

Unit cell a=8.7915 b=8.7915 c=4.5871 alpha=90.00 beta=90.00 gamma=120.00
Space group P6_3/m (No. 176)
Asymmetric unit:
Y1 0.1007 0.4391 0.2500 x6
Zn1 0.0376 0.2023 0.7500 x6
Zn2 0.3333 0.6667 0.7500 x2

Calculated values
ΔE to the lowest computed polymorph = 0 meV per atom
formation energy from the elements = -0.22 eV/atom

***

Computed, not measured: a geometry-optimized RbZnNiTe3 structure at the GGA-PBE level of DFT.

Unit cell a=4.058 b=15.715 c=10.983 alpha=90.00 beta=90.00 gamma=90.00
Space group Cmcm (No. 63)
Asymmetric unit:
Rb1 0.000 0.241 0.250 x4
Zn1 0.000 0.456 0.750 x4
Ni1 0.000 0.000 0.000 x4
Te1 0.000 0.061 0.750 x4
Te2 0.000 0.392 0.527 x8

Calculated values
VASP energy = -3.2361 eV per atom

***

Computed, not measured: a geometry-optimized AcNiC2 structure at the GGA-PBE level of DFT.

Unit cell a=4.208 b=4.596 c=6.243 alpha=90.00 beta=90.00 gamma=90.00
Space group Amm2 (No. 38)
Asymmetric unit:
Ac1 0.000 0.000 0.000 x2
Ni1 0.500 0.000 0.385 x2
C1 0.500 0.148 0.696 x4

Calculated values
VASP energy = -7.1730 eV per atom

***

Computed, not measured: a geometry-optimized ErIn5Co structure at the GGA-PBE level of DFT.

Unit cell a=4.587 b=4.587 c=7.493 alpha=90.00 beta=90.00 gamma=90.00
Space group P4/mmm (No. 123)
Asymmetric unit:
Er1 0.000 0.000 0.000 x1
In1 0.000 0.500 0.305 x4
In2 0.500 0.500 0.000 x1
Co1 0.000 0.000 0.500 x1

Calculated values
VASP energy = -3.8494 eV per atom

***

Computed, not measured: a geometry-optimized Lu2CoNi structure at the GGA-PBE level of DFT.

Unit cell a=6.416 b=6.416 c=6.416 alpha=90.00 beta=90.00 gamma=90.00
Space group F-43m (No. 216)
Asymmetric unit:
Lu1 0.000 0.000 0.000 x4
Lu2 0.250 0.250 0.250 x4
Co1 0.250 0.250 0.750 x4
Ni1 0.000 0.000 0.500 x4

Calculated values
formation energy from the elements = 0.13 eV/atom

***

Computed, not measured: a geometry-optimized CdAu2F12 structure at the GGA-PBE level of DFT.

Unit cell a=10.851 b=8.317 c=9.443 alpha=90.00 beta=120.66 gamma=90.00
Space group C2/c (No. 15)
Asymmetric unit:
Cd1 0.000 0.244 0.250 x4
Au1 0.249 0.019 0.143 x8
F1 0.118 0.475 0.431 x8
F2 0.123 0.036 0.232 x8
F3 0.125 0.315 0.720 x8
F4 0.131 0.161 0.964 x8
F5 0.135 0.164 0.510 x8
F6 0.139 0.367 0.176 x8

Calculated values
VASP energy = -3.0462 eV per atom

***

Computed, not measured: a geometry-optimized Er4CBr2Cl3 structure at the GGA-PBE level of DFT.

Unit cell a=17.408 b=3.708 c=7.739 alpha=90.00 beta=103.25 gamma=90.00
Space group C2/m (No. 12)
Asymmetric unit:
Er1 0.000 0.000 0.209 x4
Er2 0.139 0.500 0.077 x4
C1 0.000 0.500 0.000 x2
Br1 0.171 0.000 0.820 x4
Cl1 0.000 0.500 0.500 x2
Cl2 0.160 0.000 0.335 x4

Calculated values
VASP energy = -5.2076 eV per atom

***

Computed, not measured: a geometry-optimized TbZnGaNi3 structure at the GGA-PBE level of DFT.

Unit cell a=5.1894 b=5.1894 c=3.8293 alpha=90.00 beta=90.00 gamma=120.00
Space group P-6m2 (No. 187)
Asymmetric unit:
Tb1 0.0000 0.0000 0.0000 x1
Zn1 0.3333 0.6667 0.0000 x1
Ga1 0.6667 0.3333 0.0000 x1
Ni1 0.0000 0.5000 0.5000 x3

Calculated values
VASP energy = -4.7443 eV per atom

***

Computed, not measured: a geometry-optimized Lu2Zr4S3N3 structure at the GGA-PBE level of DFT.

Unit cell a=10.254 b=5.939 c=12.614 alpha=90.00 beta=105.65 gamma=90.00
Space group C2/c (No. 15)
Asymmetric unit:
Lu1 0.048 0.083 0.396 x8
Zr1 0.115 0.418 0.597 x8
Zr2 0.217 0.416 0.903 x8
S1 0.000 0.425 0.250 x4
S2 0.171 0.088 0.750 x8
N1 0.082 0.244 0.000 x8
N2 0.250 0.250 0.500 x4

Calculated values
VASP energy = -8.4256 eV per atom

***

Computed, not measured: a geometry-optimized ZrI2Cl structure at the GGA-PBE level of DFT.

Unit cell a=6.405 b=12.808 c=7.549 alpha=90.00 beta=90.00 gamma=90.00
Space group Amm2 (No. 38)
Asymmetric unit:
Zr1 0.242 0.000 0.000 x4
I1 0.000 0.000 0.674 x2
I2 0.500 0.000 0.323 x2
I3 0.500 0.167 0.852 x4
Cl1 0.000 0.136 0.144 x4

Calculated values
ΔE to the lowest computed polymorph = 3 meV per atom

***

Computed, not measured: a geometry-optimized BaGdCuTe3 structure at the GGA-PBE level of DFT.

Unit cell a=4.451 b=14.946 c=11.492 alpha=90.00 beta=90.00 gamma=90.00
Space group Cmcm (No. 63)
Asymmetric unit:
Ba1 0.000 0.250 0.250 x4
Gd1 0.000 0.000 0.000 x4
Cu1 0.000 0.467 0.750 x4
Te1 0.000 0.070 0.750 x4
Te2 0.000 0.362 0.562 x8

Calculated values
VASP energy = -4.5394 eV per atom